[1]
The following is a GGA-PBE calculation of a geometry-optimized Tb4PuAu5 structure, from Alexandria.

```
Tb4PuAu5
1.0
3.576 0.000 0.000
0.000 3.576 0.000
0.000 0.000 18.360
Tb Pu Au
4 1 5
Direct
0.000 0.000 0.100 Tb
0.000 0.000 0.300 Tb
0.000 0.000 0.700 Tb
0.000 0.000 0.900 Tb
0.000 0.000 0.500 Pu
0.500 0.500 0.000 Au
0.500 0.500 0.200 Au
0.500 0.500 0.398 Au
0.500 0.500 0.602 Au
0.500 0.500 0.800 Au
```

Results
As for the space group: P4/mmm, No. 123. As for the formation enthalpy at 0 K: -0.518 eV per atom.

[2]
The following is a GGA-PBE calculation of a geometry-optimized ZrTiPb3 structure, from Alexandria.

```
ZrTiPb3
1.0
5.331 0.000 0.000
0.000 5.331 0.000
0.000 0.000 5.331
Zr Ti Pb
1 1 3
Direct
0.000 0.000 0.000 Zr
0.500 0.500 0.500 Ti
0.000 0.500 0.500 Pb
0.500 0.000 0.500 Pb
0.500 0.500 0.000 Pb
```

Results
As for the space group: Pm-3m, No. 221. As for the formation enthalpy at 0 K: 0.671 eV per atom. The calculation puts the energy relative to the lowest polymorph listed for this composition at 0.0 kJ/mol of formula units.

[3]
The following is a GGA-PBE calculation of a geometry-optimized Tb2Ho3Tm structure, from Alexandria.

```
Tb2Ho3Tm
1.0
8.632 -3.523 0.000
8.632 3.523 0.000
-0.008 0.000 6.094
Tb Ho Tm
4 6 2
Direct
0.041 0.291 0.417 Tb
0.291 0.041 0.917 Tb
0.709 0.959 0.083 Tb
0.959 0.709 0.583 Tb
0.125 0.875 0.250 Ho
0.209 0.459 0.082 Ho
0.459 0.209 0.582 Ho
0.541 0.791 0.418 Ho
0.791 0.541 0.918 Ho
0.875 0.125 0.750 Ho
0.375 0.625 0.750 Tm
0.625 0.375 0.250 Tm
```

Results
As for the space group: C2/c, No. 15. As for the formation enthalpy at 0 K: 0.020 eV per atom. The calculation puts the energy relative to the lowest polymorph listed for this composition at 0.0 kJ/mol of formula units.

[4]
The following is a GGA-PBE calculation of a geometry-optimized Zr5In4Au structure, from Alexandria.

```
Zr5In4Au
1.0
3.149 0.000 0.000
0.000 3.149 0.000
0.000 0.000 21.832
Zr In Au
5 4 1
Direct
0.000 0.000 0.000 Zr
0.000 0.000 0.204 Zr
0.000 0.000 0.408 Zr
0.000 0.000 0.592 Zr
0.000 0.000 0.796 Zr
0.500 0.500 0.102 In
0.500 0.500 0.306 In
0.500 0.500 0.694 In
0.500 0.500 0.898 In
0.500 0.500 0.500 Au
```

Results
As for the space group: P4/mmm, No. 123. As for the formation enthalpy at 0 K: -0.359 eV per atom.

[5]
The following is a GGA-PBE calculation of a geometry-optimized Ac3NdOs structure, from Alexandria.

```
Ac3NdOs
1.0
5.879 0.000 0.000
0.000 5.879 0.000
0.000 0.000 5.879
Ac Nd Os
3 1 1
Direct
0.000 0.000 0.500 Ac
0.000 0.500 0.000 Ac
0.500 0.000 0.000 Ac
0.500 0.500 0.500 Nd
0.000 0.000 0.000 Os
```

Results
As for the space group: Pm-3m, No. 221. As for the formation enthalpy at 0 K: 0.112 eV per atom. The calculation puts the energy relative to the lowest polymorph listed for this composition at 80.8 kJ/mol of formula units.

[6]
The following is a GGA-PBE calculation of a geometry-optimized NaNbTlZn2 structure, from Alexandria.

```
NaNbTlZn2
1.0
4.716 0.000 0.000
0.000 4.716 0.000
0.000 0.000 5.212
Na Nb Tl Zn
1 1 1 2
Direct
0.000 0.000 0.000 Na
0.000 0.000 0.500 Nb
0.500 0.500 0.500 Tl
0.000 0.500 0.000 Zn
0.500 0.000 0.000 Zn
```

Results
As for the space group: P4/mmm, No. 123. As for the formation enthalpy at 0 K: 1.267 eV per atom.

[7]
The following is a GGA-PBE calculation of a geometry-optimized AcTl2AsS4 structure, from Alexandria.

```
AcTl2AsS4
1.0
-4.092 4.443 6.015
4.092 -4.443 6.015
4.092 4.443 -6.015
Ac Tl As S
2 4 2 8
Direct
0.000 0.000 0.000 Ac
0.500 0.000 0.500 Ac
0.000 0.500 0.500 Tl
0.500 0.000 0.000 Tl
0.500 0.500 0.000 Tl
0.500 0.500 0.500 Tl
0.000 0.000 0.500 As
0.000 0.500 0.000 As
0.194 0.244 0.950 S
0.205 0.756 0.450 S
0.222 0.207 0.485 S
0.222 0.737 0.015 S
0.778 0.263 0.985 S
0.778 0.793 0.515 S
0.795 0.244 0.550 S
0.806 0.756 0.050 S
```

Results
The formation energy (no corrections) comes out at -0.76 eV/atom. As for the space group: Imma, No. 74.

[8]
The following is a GGA-PBE calculation of a geometry-optimized LiDyOs structure, from Alexandria.

```
LiDyOs
1.0
2.436 -5.119 0.000
2.436 5.119 0.000
0.000 0.000 4.480
Li Dy Os
2 2 2
Direct
0.050 0.950 0.750 Li
0.950 0.050 0.250 Li
0.250 0.750 0.250 Dy
0.750 0.250 0.750 Dy
0.441 0.559 0.750 Os
0.559 0.441 0.250 Os
```

Results
As for the space group: Cmcm, No. 63. As for the formation enthalpy at 0 K: -0.029 eV per atom.

Number 1: density 13.190 g cm⁻³, E_tot -54.42 eV for the cell shown. Number 2: density 8.339 g cm⁻³, E_tot -24.21 eV for the cell shown. Number 3: density 8.795 g cm⁻³, E_tot -54.69 eV for the cell shown. Number 4: density 8.530 g cm⁻³, E_tot -60.57 eV for the cell shown. Number 5: density 8.299 g cm⁻³, E_tot -27.76 eV for the cell shown. Number 6: density 6.461 g cm⁻³, E_tot -9.97 eV for the cell shown. Number 7: density 6.369 g cm⁻³, E_tot -72.09 eV for the cell shown. Number 8: density 10.688 g cm⁻³, E_tot -35.66 eV for the cell shown.